Entry 1:
Density functional theory data (PBE) for a geometry-optimized Ge2SbSe structure.

Cell: 4.9921 4.9921 4.9921 Å, 60.00 60.00 60.00°
Positions (direct):
Ge: 0.2500 0.2500 0.2500
Se: 0.0000 0.0000 0.0000
Sb: 0.5000 0.5000 0.5000
Ge: 0.7500 0.7500 0.7500

**Raw total energy**: -3.94 eV/atom
**Space-group type**: No. 225
**E above lowest polymorph**: 218 meV per atom
**Formation energy (no corrections)**: 0.265 eV per atom
**Fermi-level density of states**: 0.731 states/eV per atom

---

Entry 2:
Density functional theory data (PBE) for a geometry-optimized GeSb2Se6 structure.

Cell: 6.3374 6.3374 12.4977 Å, 90.00 90.00 90.00°
Positions (direct):
Se: 0.7037 0.7037 0.5000
Se: 0.6887 0.6887 0.1581
Sb: 0.5000 0.5000 0.3352
Se: 0.1887 0.8113 0.3419
Se: 0.7963 0.2037 0.0000
Ge: 0.0000 0.0000 0.5000
Se: 0.3113 0.3113 0.1581
Sb: 0.0000 0.0000 0.1648
Se: 0.8113 0.1887 0.3419
Sb: 0.0000 0.0000 0.8352
Se: 0.2963 0.2963 0.5000
Se: 0.6887 0.6887 0.8419
Se: 0.1887 0.8113 0.6581
Se: 0.3113 0.3113 0.8419
Sb: 0.5000 0.5000 0.6648
Se: 0.8113 0.1887 0.6581
Ge: 0.5000 0.5000 0.0000
Se: 0.2037 0.7963 0.0000

**Raw total energy**: -3.71 eV/atom
**Space-group type**: No. 136
**Formation energy (no corrections)**: 0.046 eV per atom
**Fermi-level density of states**: 0.660 states/eV per atom

---

Entry 3:
Density functional theory data (PBE) for a geometry-optimized GeSb2Se5 structure.

Cell: 5.8000 7.6908 11.7741 Å, 90.00 90.00 112.15°
Positions (direct):
Se: 0.6895 0.3790 0.2500
Sb: 0.1777 0.3553 0.9275
Sb: 0.8223 0.6447 0.4275
Ge: 0.1910 0.3821 0.2500
Se: 0.3105 0.6210 0.7500
Se: 0.6799 0.3598 0.9132
Se: 0.9655 0.9311 0.9025
Se: 0.3201 0.6402 0.4132
Se: 0.6799 0.3598 0.5868
Se: 0.0345 0.0689 0.4025
Sb: 0.1777 0.3553 0.5725
Se: 0.9655 0.9311 0.5975
Sb: 0.8223 0.6447 0.0725
Se: 0.0345 0.0689 0.0975
Ge: 0.8090 0.6179 0.7500
Se: 0.3201 0.6402 0.0868

**Raw total energy**: -3.87 eV/atom
**Space-group type**: No. 63
**Formation energy (no corrections)**: -0.083 eV per atom
**Fermi-level density of states**: 0.213 states/eV per atom

---

Entry 4:
Density functional theory data (PBE) for a geometry-optimized GeSbSe3 structure.

Cell: 5.2923 5.2923 5.2923 Å, 90.00 90.00 90.00°
Positions (direct):
Se: 0.5000 0.0000 0.0000
Se: 0.0000 0.0000 0.5000
Sb: 0.0000 0.0000 0.0000
Se: 0.0000 0.5000 0.0000
Ge: 0.5000 0.5000 0.5000

**Raw total energy**: -3.34 eV/atom
**Space-group type**: No. 221
**E above lowest polymorph**: 652 meV per atom
**Formation energy (no corrections)**: 0.494 eV per atom
**Fermi-level density of states**: 0.835 states/eV per atom

---

Entry 5:
Density functional theory data (PBE) for a geometry-optimized Ge3SbSe structure.

Cell: 5.1551 5.1551 5.1551 Å, 90.00 90.00 90.00°
Positions (direct):
Ge: 0.5000 0.0000 0.0000
Ge: 0.0000 0.5000 0.0000
Se: 0.0000 0.0000 0.0000
Ge: 0.0000 0.0000 0.5000
Sb: 0.5000 0.5000 0.5000

**Raw total energy**: -3.70 eV/atom
**Space-group type**: No. 221
**E above lowest polymorph**: 0 meV per atom
**Formation energy (no corrections)**: 0.590 eV per atom
**Fermi-level density of states**: 0.432 states/eV per atom

---

Entry 6:
Density functional theory data (PBE) for a geometry-optimized Ge2Sb2Se structure.

Cell: 3.9445 3.9445 8.1961 Å, 76.08 76.08 90.00°
Positions (direct):
Sb: 0.6014 0.6014 0.7972
Sb: 0.3986 0.3986 0.2028
Se: 0.0000 0.0000 0.0000
Ge: 0.7500 0.2500 0.5000
Ge: 0.2500 0.7500 0.5000

**Raw total energy**: -4.00 eV/atom
**Space-group type**: No. 139
**E above lowest polymorph**: 0 meV per atom
**Formation energy (no corrections)**: 0.194 eV per atom
**Fermi-level density of states**: 0.339 states/eV per atom

---

Entry 7:
Density functional theory data (PBE) for a geometry-optimized GeSb2Se structure.

Cell: 5.1043 5.1043 5.1043 Å, 60.00 60.00 60.00°
Positions (direct):
Sb: 0.7500 0.7500 0.7500
Ge: 0.0000 0.0000 0.0000
Se: 0.5000 0.5000 0.5000
Sb: 0.2500 0.2500 0.2500

**Raw total energy**: -3.84 eV/atom
**Space-group type**: No. 225
**E above lowest polymorph**: 31 meV per atom
**Formation energy (no corrections)**: 0.251 eV per atom
**Fermi-level density of states**: 0.588 states/eV per atom

---

Entry 8:
Density functional theory data (PBE) for a geometry-optimized GeSb3Se6 structure.

Cell: 7.0632 9.1480 9.1480 Å, 103.55 90.00 90.00°
Positions (direct):
Sb: 0.0194 0.1064 0.2762
Se: 0.6954 0.3003 0.3784
Sb: 0.8353 0.5927 0.4073
Se: 0.6825 0.8950 0.4427
Sb: 0.0194 0.7238 0.8936
Se: 0.1825 0.1050 0.5573
Sb: 0.5194 0.8936 0.7238
Se: 0.6835 0.2107 0.7893
Sb: 0.3353 0.4073 0.5927
Ge: 0.5201 0.7986 0.2014
Se: 0.6954 0.6216 0.6997
Se: 0.6519 0.9551 0.0449
Sb: 0.5194 0.2762 0.1064
Ge: 0.0201 0.2014 0.7986
Se: 0.1519 0.0449 0.9551
Se: 0.6825 0.5573 0.1050
Se: 0.1825 0.4427 0.8950
Se: 0.1835 0.7893 0.2107
Se: 0.1954 0.3784 0.3003
Se: 0.1954 0.6997 0.6216

**Raw total energy**: -3.93 eV/atom
**Space-group type**: No. 36
**E above lowest polymorph**: 26 meV per atom
**Formation energy (no corrections)**: -0.145 eV per atom
**Fermi-level density of states**: 0.346 states/eV per atom

---

Entry 9:
Density functional theory data (PBE) for a geometry-optimized Ge2SbSe structure.

Cell: 5.7462 5.7462 8.3404 Å, 69.85 69.85 90.00°
Positions (direct):
Se: 0.5000 0.5000 0.0000
Sb: 0.0000 0.0000 0.0000
Ge: 0.1496 0.6250 0.2500
Ge: 0.6004 0.1250 0.2500
Ge: 0.8750 0.8504 0.7500
Sb: 0.7500 0.2500 0.5000
Ge: 0.3750 0.3996 0.7500
Se: 0.2500 0.7500 0.5000

**Raw total energy**: -4.04 eV/atom
**Space-group type**: No. 122
**E above lowest polymorph**: 120 meV per atom
**Formation energy (no corrections)**: 0.167 eV per atom
**Fermi-level density of states**: 0.258 states/eV per atom

---

Entry 10:
Density functional theory data (PBE) for a geometry-optimized Sm6Ge2SbSe3 structure.

Cell: 4.2653 8.5445 9.5221 Å, 102.58 102.94 90.00°
Positions (direct):
Se: 0.8352 0.1662 0.6704
Sm: 0.6703 0.0969 0.3406
Sm: 0.0048 0.2596 0.0095
Se: 0.1648 0.8338 0.3296
Ge: 0.8329 0.6654 0.6657
Se: 0.5000 0.5000 0.0000
Ge: 0.1671 0.3346 0.3343
Sm: 0.9952 0.7404 0.9905
Sm: 0.3302 0.4222 0.6604
Sb: 0.5000 0.0000 0.0000
Sm: 0.3297 0.9031 0.6594
Sm: 0.6698 0.5778 0.3396

**Raw total energy**: -5.79 eV/atom
**Space-group type**: No. 12
**Formation energy (no corrections)**: -1.447 eV per atom
**Fermi-level density of states**: 0.177 states/eV per atom

---

Entry 11:
Density functional theory data (PBE) for a geometry-optimized Sm6Ge3SbSe2 structure.

Cell: 4.2303 8.6155 9.5785 Å, 103.84 102.76 90.00°
Positions (direct):
Se: 0.1680 0.3356 0.3361
Sm: 0.6718 0.0817 0.3436
Sm: 0.3346 0.4121 0.6693
Sb: 0.5000 0.0000 0.0000
Sm: 0.0000 0.2613 0.0000
Ge: 0.5000 0.5000 0.0000
Sm: 0.6654 0.5879 0.3307
Ge: 0.8338 0.1684 0.6677
Sm: 0.3282 0.9183 0.6564
Ge: 0.1662 0.8316 0.3323
Se: 0.8320 0.6644 0.6639
Sm: 0.0000 0.7387 0.0000

**Raw total energy**: -5.68 eV/atom
**Space-group type**: No. 12
**Formation energy (no corrections)**: -1.237 eV per atom
**Fermi-level density of states**: 0.505 states/eV per atom

---

Entry 12:
Density functional theory data (PBE) for a geometry-optimized Sm6GeSb2Se3 structure.

Cell: 4.3043 8.5949 9.6063 Å, 102.42 102.95 90.00°
Positions (direct):
Sm: 0.6608 0.0736 0.3215
Sm: 0.6628 0.5890 0.3256
Se: 0.8316 0.1655 0.6632
Sb: 0.8327 0.6655 0.6654
Sm: 0.3372 0.4110 0.6744
Sb: 0.1673 0.3345 0.3346
Sm: 0.9979 0.2368 0.9957
Se: 0.1684 0.8345 0.3368
Ge: 0.5000 0.0000 0.0000
Se: 0.5000 0.5000 0.0000
Sm: 0.3392 0.9264 0.6785
Sm: 0.0021 0.7632 0.0043

**Raw total energy**: -5.78 eV/atom
**Space-group type**: No. 12
**Formation energy (no corrections)**: -1.478 eV per atom
**Fermi-level density of states**: 0.321 states/eV per atom